Computed, not measured: crystalline ScCd2WO6 at its relaxed geometry at the PBE+U level of DFT.

POSCAR file:
```
ScCd2WO6
1.0
-4.762 2.272 -1.671
-0.376 -3.805 -4.101
-4.082 -4.864 4.886
O Cd W Sc
12 4 2 2
Direct
0.178 0.206 0.052
0.304 0.691 0.055
0.822 0.794 0.948
0.899 0.547 0.245
0.696 0.309 0.945
0.101 0.453 0.755
0.196 0.191 0.445
0.678 0.294 0.552
0.322 0.706 0.448
0.804 0.809 0.555
0.399 0.953 0.745
0.601 0.047 0.255
0.995 0.040 0.747
0.495 0.460 0.247
0.505 0.540 0.753
0.005 0.960 0.253
0.500 0.000 0.500
0.000 0.500 0.000
0.500 0.000 0.000
0.000 0.500 0.500
```

The total energy comes out at -6.535 eV/atom. As for the crystal system: monoclinic. The size of the total moment is 2.00 μB per cell.